Here is crystalline TlSbTe2 at its relaxed geometry from the Alexandria database. Energies are from GGA-PBE.

Lattice parameters (Å, degrees): 5.486 5.486 5.486 60.00 60.00 60.00
Positions (direct):
Tl  0.000  0.000  0.000
Sb  0.250  0.250  0.250
Te  0.500  0.500  0.500
Te  0.750  0.750  0.750

- offset from the most stable computed form (eV/atom) = 0.442
- spin magnetization (μB per formula unit) = 0.0
- DFT total energy (Ry per atom) = -0.21909
- formation energy without anion corrections (eV/atom) = 0.212
- theoretical density (g cm⁻³) = 8.27



Here is crystalline Al2TcPt at its relaxed geometry from the Alexandria database. Energies are from GGA-PBE.

Lattice parameters (Å, degrees): 5.027 5.027 4.537 109.00 109.00 32.81
Positions (direct):
Al  0.000  0.000  0.000
Al  0.244  0.244  0.601
Tc  0.747  0.747  0.097
Pt  0.498  0.498  0.502

- spin magnetization (μB per formula unit) = 0.0
- DFT total energy (Ry per atom) = -0.48307
- theoretical density (g cm⁻³) = 9.86
- ΔE_f (eV/atom) = -0.600